Here is an optimized crystal structure of LiGe2Pd2 from the Alexandria database. Energies are from PBEsol.

The total magnetization is 0.00 μB per formula unit. The density of states at the Fermi level comes out at 3.55 states/eV per cell. Its theoretical density is 7.1 g/cm³. For the formation energy, the calculation gives -2.248 eV/f.u.

The structure belongs to space group I4/mmm (No. 139); the cell edges are 4.050, 4.050 and 10.471 Å and the angles 90.00°, 90.00° and 90.00°. The inequivalent atoms are Li at (0.000, 0.000, 0.000), Ge at (0.000, 0.000, 0.385) and Pd at (0.000, 0.500, 0.250).

***

Here is an optimized crystal structure of Zr2SbMo from the Alexandria database. Energies are from PBEsol.

The total magnetization is 0.00 μB per formula unit. The density of states at the Fermi level comes out at 3.04 states/eV per cell. Its theoretical density is 8.4 g/cm³. Its formation energy (no corrections) is -193 meV/atom.

The structure belongs to space group P4mm (No. 99); the cell edges are 3.563, 3.563 and 6.205 Å and the angles 90.00°, 90.00° and 90.00°. The inequivalent atoms are Zr at (0.000, 0.000, 0.000), Zr at (0.500, 0.500, 0.273), Sb at (0.500, 0.500, 0.750) and Mo at (0.000, 0.000, 0.525).

***

Here is an optimized crystal structure of TcBrCl from the Alexandria database. Energies are from PBEsol.

The total magnetization is 0.00 μB per formula unit. The density of states at the Fermi level comes out at 3.20 states/eV per cell. Its theoretical density is 6.2 g/cm³. Its formation energy (no corrections) is 274 meV/atom. The energy above the lowest structure with this stoichiometry is 0.153 eV per atom.

The structure belongs to space group I4mm (No. 107); the cell edges are 3.081, 3.081 and 12.025 Å and the angles 90.00°, 90.00° and 90.00°. The inequivalent atoms are Tc at (0.000, 0.000, 0.000), Br at (0.000, 0.000, 0.613) and Cl at (0.000, 0.000, 0.365).

***

Here is an optimized crystal structure of Li2ZnAu from the Alexandria database. Energies are from PBEsol.

The total magnetization is 0.00 μB per formula unit. The density of states at the Fermi level comes out at 2.13 states/eV per cell. Its theoretical density is 7.9 g/cm³. For the formation energy, the calculation gives -1.360 eV/f.u.

The structure belongs to space group Cmmm (No. 65); the cell edges are 5.377, 7.777 and 2.776 Å and the angles 90.00°, 90.00° and 90.00°. The inequivalent atoms are Li at (0.250, 0.250, 0.000), Zn at (0.000, 0.000, 0.500) and Au at (0.000, 0.500, 0.500).

***

Here is an optimized crystal structure of LiFeSb2O from the Alexandria database. Energies are from PBEsol.

The total magnetization is 2.95 μB per formula unit. The density of states at the Fermi level comes out at 4.41 states/eV per cell. Its theoretical density is 6.5 g/cm³. Its formation energy (no corrections) is 203 meV/atom.

The structure belongs to space group P4/mmm (No. 123); the cell edges are 5.101, 5.101 and 3.181 Å and the angles 90.00°, 90.00° and 90.00°. The inequivalent atoms are Li at (0.000, 0.000, 0.000), Fe at (0.500, 0.500, 0.500), Sb at (0.000, 0.500, 0.000) and O at (0.000, 0.000, 0.500).

***

Here is an optimized crystal structure of YRe from the Alexandria database. Energies are from PBEsol.

The total magnetization is 0.00 μB per formula unit. The density of states at the Fermi level comes out at 7.64 states/eV per cell. Its theoretical density is 11.8 g/cm³. For the formation energy, the calculation gives 1.426 eV/f.u.

The structure belongs to space group R-3m (No. 166, hexagonal axes); the cell edges are 3.1350, 3.1350 and 13.6226 Å and the angles 90.00°, 90.00° and 120.00°. The inequivalent atoms are Y at (0.0000, 0.0000, 0.0000) and Re at (0.0000, 0.0000, 0.5000).

***

Here is an optimized crystal structure of BeTl3 from the Alexandria database. Energies are from PBEsol.

The total magnetization is 0.00 μB per formula unit. The density of states at the Fermi level comes out at 3.79 states/eV per cell. Its theoretical density is 10.8 g/cm³. For the formation energy, the calculation gives 2.104 eV/f.u.

The structure belongs to space group I4/mmm (No. 139); the cell edges are 4.505, 4.505 and 9.449 Å and the angles 90.00°, 90.00° and 90.00°. The inequivalent atoms are Be at (0.000, 0.000, 0.000), Tl at (0.000, 0.000, 0.500) and Tl at (0.000, 0.500, 0.250).

***

Here is an optimized crystal structure of CaAl2SnS from the Alexandria database. Energies are from PBEsol.

The total magnetization is 0.00 μB per formula unit. The density of states at the Fermi level comes out at 1.84 states/eV per cell. Its theoretical density is 2.7 g/cm³. Its formation energy (no corrections) is 344 meV/atom.

The structure belongs to space group P4/mmm (No. 123); the cell edges are 5.034, 5.034 and 6.014 Å and the angles 90.00°, 90.00° and 90.00°. The inequivalent atoms are Ca at (0.000, 0.000, 0.000), Al at (0.000, 0.500, 0.500), Sn at (0.000, 0.000, 0.500) and S at (0.500, 0.500, 0.000).

***

Record-wise energy values, in eV per atom: -5.202 -8.819 -4.774 -2.700 -4.856 -9.364 -2.447 -3.448